[1]
## Nd2HoThS4 (PBE-GGA)

Data for a relaxed structure of Nd2HoThS4.

Lattice parameters (Å, degrees): 3.991 6.997 6.958 109.14 90.00 90.00
Atoms (fractional coordinates):
S (0.000, 0.244, 0.757)
S (0.500, 0.239, 0.237)
S (0.500, 0.761, 0.763)
Nd (0.500, 0.000, 0.500)
S (0.000, 0.756, 0.243)
Ho (0.000, 0.000, 0.000)
Th (0.500, 0.500, 0.000)
Nd (0.000, 0.500, 0.500)

Computed properties:
Size of the total moment ... 0.000 μB per formula unit
DFT total energy ... -53.70 eV per formula unit
V ... 22.9 Å³/atom
Formation energy without anion corrections ... -189 kJ/mol of atoms

***

[2]
## TlCd2Au (PBE-GGA)

Data for a relaxed structure of TlCd2Au.

Lattice parameters (Å, degrees): 6.326 5.895 6.129 65.87 71.04 72.32
Atoms (fractional coordinates):
Cd (0.171, 0.913, 0.902)
Cd (0.049, 0.342, 0.453)
Cd (0.689, 0.696, 0.710)
Tl (0.254, 0.804, 0.414)
Cd (0.564, 0.190, 0.802)
Tl (0.609, 0.259, 0.261)
Au (0.755, 0.751, 0.177)
Au (0.094, 0.415, 0.928)

Computed properties:
Size of the total moment ... 0.000 μB per formula unit
Energy of formation ... -0.026 eV per atom
DFT total energy ... -7.58 eV per formula unit
V ... 24.2 Å³/atom
Energy above the lowest structure with this stoichiometry ... 66 meV per atom